[1]
Here is a geometry-optimized Tm5CdRu2Pb2 structure from Alexandria via LeMat-Bulk. Energies are from PBE.

```
data_Tm5CdRu2Pb2
_symmetry_space_group_name_H-M 'P 1'
_symmetry_Int_Tables_number 1
_symmetry_space_group_name_Hall 'P 1'
_cell_length_a 3.632
_cell_length_b 11.762
_cell_length_c 11.762
_cell_angle_alpha 90.00
_cell_angle_beta 90.00
_cell_angle_gamma 90.00
loop_
_atom_site_label
_atom_site_type_symbol
_atom_site_fract_x
_atom_site_fract_y
_atom_site_fract_z
_atom_site_occupancy
Pb1 Pb 0.000 0.324 0.824 1
Cd1 Cd 0.000 0.500 0.500 1
Ru1 Ru 0.000 0.368 0.132 1
Tm1 Tm 0.500 0.290 0.573 1
Tm2 Tm 0.500 0.210 0.073 1
Tm3 Tm 0.500 0.500 0.000 1
Ru2 Ru 0.000 0.132 0.632 1
Tm4 Tm 0.500 0.000 0.500 1
Pb2 Pb 0.000 0.176 0.324 1
Ru3 Ru 0.000 0.632 0.868 1
Tm5 Tm 0.500 0.427 0.290 1
Tm6 Tm 0.500 0.790 0.927 1
Cd2 Cd 0.000 0.000 0.000 1
Tm7 Tm 0.500 0.573 0.710 1
Tm8 Tm 0.500 0.927 0.210 1
Tm9 Tm 0.500 0.710 0.427 1
Pb3 Pb 0.000 0.676 0.176 1
Ru4 Ru 0.000 0.868 0.368 1
Pb4 Pb 0.000 0.824 0.676 1
Tm10 Tm 0.500 0.073 0.790 1
```

## Properties
Formation energy from the elements   -338 meV per atom

[2]
Here is a geometry-optimized VCdRuPb2 structure from Alexandria via LeMat-Bulk. Energies are from PBE.

```
data_VCdRuPb2
_symmetry_space_group_name_H-M 'P 1'
_symmetry_Int_Tables_number 1
_symmetry_space_group_name_Hall 'P 1'
_cell_length_a 5.185
_cell_length_b 5.187
_cell_length_c 5.185
_cell_angle_alpha 90.00
_cell_angle_beta 90.00
_cell_angle_gamma 90.00
loop_
_atom_site_label
_atom_site_type_symbol
_atom_site_fract_x
_atom_site_fract_y
_atom_site_fract_z
_atom_site_occupancy
Cd1 Cd 0.000 0.500 0.000 1
V1 V 0.500 0.500 0.500 1
Pb1 Pb 0.500 0.000 0.000 1
Pb2 Pb 0.000 0.000 0.500 1
Ru1 Ru 0.000 0.000 0.000 1
```

## Properties
Formation energy from the elements   1088 meV per atom

[3]
Here is a geometry-optimized CdPb4S5 structure from Alexandria via LeMat-Bulk. Energies are from PBE.

```
data_CdPb4S5
_symmetry_space_group_name_H-M 'P 1'
_symmetry_Int_Tables_number 1
_symmetry_space_group_name_Hall 'P 1'
_cell_length_a 4.170
_cell_length_b 4.170
_cell_length_c 17.191
_cell_angle_alpha 83.03
_cell_angle_beta 83.03
_cell_angle_gamma 60.00
loop_
_atom_site_label
_atom_site_type_symbol
_atom_site_fract_x
_atom_site_fract_y
_atom_site_fract_z
_atom_site_occupancy
Pb1 Pb 0.701 0.701 0.897 1
Pb2 Pb 0.299 0.299 0.103 1
Pb3 Pb 0.897 0.897 0.310 1
S1 S 0.000 0.000 0.000 1
S2 S 0.402 0.402 0.793 1
S3 S 0.598 0.598 0.207 1
S4 S 0.195 0.195 0.415 1
Pb4 Pb 0.103 0.103 0.690 1
Cd1 Cd 0.500 0.500 0.500 1
S5 S 0.805 0.805 0.585 1
```

## Properties
Uncorrected formation energy   -5.22 eV per formula unit

Number 1: V 25.124 A^3/atom. Number 2: V 27.890 A^3/atom. Number 3: V 25.633 A^3/atom.